Here is Zn3RuSe after structural relaxation from Alexandria. Energies are from PBE.

Unit cell a=4.7955 b=4.7955 c=4.7955 alpha=90.00 beta=90.00 gamma=90.00
Last column: nearest neighbours and their distance in Å.
Fractional positions:
Zn1 0.5000 0.0000 0.0000  2 Ru 2.40
Ru1 0.0000 0.0000 0.0000  6 Zn 2.40
Zn2 0.0000 0.0000 0.5000  2 Ru 2.40
Se1 0.5000 0.5000 0.5000  12 Zn 3.39
Zn3 0.0000 0.5000 0.0000  2 Ru 2.40

Values from the calculation:
ΔE_f (raw) (meV per atom): 676
Excess energy over the best structure of this formula in the dataset (eV per atom): 0.0000
Spin magnetization (μB per formula unit): 0.61